No. 1
Material: CrAgAu2
Method: DFT, SCAN
State: PBEsol geometry

Lattice parameters (Å, degrees): 4.529 4.529 4.529 60.00 60.00 60.00
Positions (direct):
1 Ag 0.500 0.500 0.500
2 Au 0.000 0.000 0.000
3 Au 0.250 0.250 0.250
4 Cr 0.750 0.750 0.750

Summary:
ΔH_f (0 K)	-34	meV per atom
crystal system	cubic
SG	F-43m, No. 216

=====

No. 2
Material: AlMoRu
Method: DFT, SCAN
State: PBEsol geometry

Lattice parameters (Å, degrees): 2.762 4.224 4.224 120.00 90.00 90.00
Positions (direct):
1 Ru 0.312 0.667 0.333
2 Mo 0.638 0.333 0.667
3 Al 0.049 0.000 0.000

Summary:
ΔH_f (0 K)	-282	meV per atom
crystal system	trigonal
SG	P3m1, No. 156

=====

No. 3
Material: SrAlCd2
Method: DFT, SCAN
State: PBEsol geometry

Lattice parameters (Å, degrees): 4.662 4.662 6.273 68.19 68.19 60.00
Positions (direct):
1 Sr 0.491 0.491 0.526
2 Al 0.695 0.695 0.914
3 Cd 0.021 0.021 0.937
4 Cd 0.281 0.281 0.157

Summary:
ΔH_f (0 K)	-228	meV per atom
crystal system	trigonal
SG	R3m, No. 160

=====

No. 4
Material: Li2FeW
Method: DFT, SCAN
State: PBEsol geometry

Lattice parameters (Å, degrees): 2.907 3.826 4.620 90.00 90.00 90.00
Positions (direct):
1 Fe 0.000 0.500 0.500
2 Li 0.000 0.000 0.000
3 Li 0.500 0.500 0.000
4 W 0.500 0.000 0.500

Summary:
ΔH_f (0 K)	484	meV per atom
crystal system	orthorhombic
SG	Pmmm, No. 47
offset from the most stable computed form	0	meV per atom

=====

No. 5
Material: GaAs2F
Method: DFT, SCAN
State: PBEsol geometry

Lattice parameters (Å, degrees): 3.732 3.732 10.274 100.47 100.47 90.00
Positions (direct):
1 As 0.846 0.375 0.250
2 As 0.404 0.875 0.250
3 As 0.625 0.596 0.750
4 As 0.125 0.154 0.750
5 Ga 0.250 0.750 0.500
6 Ga 0.000 0.000 0.000
7 F 0.750 0.250 0.500
8 F 0.500 0.500 0.000

Summary:
crystal system	tetragonal
SG	I-42d, No. 122
offset from the most stable computed form	0	meV per atom
uncorrected formation energy	-1.653	eV per formula unit

=====

No. 6
Material: Mg2ScFeC
Method: DFT, SCAN
State: PBEsol geometry

Lattice parameters (Å, degrees): 3.780 4.425 4.425 90.00 90.00 90.00
Positions (direct):
1 Sc 0.500 0.500 0.500
2 C 0.000 0.000 0.000
3 Mg 0.000 0.000 0.500
4 Mg 0.000 0.500 0.000
5 Fe 0.500 0.000 0.000

Summary:
ΔH_f (0 K)	258	meV per atom
crystal system	tetragonal
SG	P4/mmm, No. 123

=====

No. 7
Material: KLiSi2
Method: DFT, SCAN
State: PBEsol geometry

Lattice parameters (Å, degrees): 4.839 4.839 4.839 60.00 60.00 60.00
Positions (direct):
1 K 0.500 0.500 0.500
2 Si 0.000 0.000 0.000
3 Si 0.750 0.750 0.750
4 Li 0.250 0.250 0.250

Summary:
crystal system	cubic
SG	F-43m, No. 216
offset from the most stable computed form	479	meV per atom
uncorrected formation energy	2.022	eV per formula unit

=====

No. 8
Material: KYP2O7
Method: DFT, SCAN
State: PBEsol geometry

Lattice parameters (Å, degrees): 7.603 8.634 10.959 90.00 90.00 107.82
Positions (direct):
1 K 0.831 0.425 0.181
2 K 0.831 0.925 0.319
3 K 0.169 0.075 0.681
4 K 0.169 0.575 0.819
5 Y 0.232 0.751 0.406
6 Y 0.768 0.749 0.906
7 Y 0.232 0.251 0.094
8 Y 0.768 0.249 0.594
9 P 0.871 0.190 0.896
10 P 0.129 0.310 0.396
11 P 0.871 0.690 0.604
12 P 0.129 0.810 0.104
13 P 0.555 0.806 0.645
14 P 0.445 0.694 0.145
15 P 0.445 0.194 0.355
16 P 0.555 0.306 0.855
17 O 0.364 0.256 0.914
18 O 0.869 0.015 0.902
19 O 0.069 0.234 0.270
20 O 0.931 0.266 0.770
21 O 0.869 0.515 0.598
22 O 0.339 0.309 0.421
23 O 0.667 0.981 0.616
24 O 0.988 0.793 0.502
25 O 0.012 0.707 0.002
26 O 0.661 0.691 0.579
27 O 0.364 0.756 0.586
28 O 0.541 0.263 0.720
29 O 0.012 0.207 0.498
30 O 0.661 0.191 0.921
31 O 0.931 0.766 0.730
32 O 0.131 0.985 0.098
33 O 0.339 0.809 0.079
34 O 0.333 0.519 0.116
35 O 0.636 0.244 0.414
36 O 0.459 0.737 0.280
37 O 0.131 0.485 0.402
38 O 0.333 0.019 0.384
39 O 0.636 0.744 0.086
40 O 0.667 0.481 0.884
41 O 0.988 0.293 0.998
42 O 0.541 0.763 0.780
43 O 0.069 0.734 0.230
44 O 0.459 0.237 0.220

Summary:
crystal system	monoclinic
SG	P2_1/c, No. 14
offset from the most stable computed form	0	meV per atom
uncorrected formation energy	-32.696	eV per formula unit

=====

| no. | M_tot (μB per cell) | N(E_F) (states/eV/cell) |
| --- | --- | --- |
| 1 | 4.175 | 1.63 |
| 2 | 0.000 | 1.72 |
| 3 | 0.000 | 2.08 |
| 4 | 0.000 | 2.37 |
| 5 | 0.000 | 2.14 |
| 6 | 1.332 | 2.19 |
| 7 | 0.074 | 1.39 |
| 8 | 0.000 | 0.00 |